# 1
! TiNbAu6, optimized geometry, DFT PBE; values from VASP
&SYSTEM
  ibrav = 0, nat = 8, ntyp = 3
/
ATOMIC_SPECIES
Au 196.97 Au.upf
Ti 47.87 Ti.upf
Nb 92.91 Nb.upf
ATOMIC_POSITIONS angstrom
Au -1.2541 -2.2650 5.1222
Ti 0.0000 0.0000 0.0000
Nb -0.5067 0.6835 4.7680
Au -3.6280 0.3815 8.9359
Au -3.1196 -0.3386 4.1301
Au -0.6262 -1.1548 2.5379
Au -3.0001 1.4917 6.3516
Au -1.1346 -0.4347 7.3436
CELL_PARAMETERS angstrom
-3.2407 -2.1402 1.9378
1.2402 -3.0925 3.5190
-2.2537 4.4594 6.0169
! V = 141 Å³/cell
! Space-group type = C2/m (12)
! Calculated formation energy = -0.1445 eV per atom
! E_tot = -4.848 eV/atom

---

# 2
! Ti2NbAu, optimized geometry, DFT PBE; values from VASP
&SYSTEM
  ibrav = 0, nat = 4, ntyp = 3
/
ATOMIC_SPECIES
Ti 47.87 Ti.upf
Au 196.97 Au.upf
Nb 92.91 Nb.upf
ATOMIC_POSITIONS angstrom
Ti 0.0000 0.0000 4.8246
Au 1.6458 1.6458 3.1784
Ti 0.0000 0.0000 1.5323
Nb 1.6458 1.6458 0.0000
CELL_PARAMETERS angstrom
3.2917 0.0000 0.0000
0.0000 3.2917 0.0000
0.0000 0.0000 6.3568
! V = 69 Å³/cell
! Space-group type = P4/mmm (123)
! Calculated formation energy = -0.2692 eV per atom
! E_tot = -7.553 eV/atom

---

# 3
! TiNbAu2, optimized geometry, DFT PBE; values from VASP
&SYSTEM
  ibrav = 0, nat = 4, ntyp = 3
/
ATOMIC_SPECIES
Nb 92.91 Nb.upf
Au 196.97 Au.upf
Ti 47.87 Ti.upf
ATOMIC_POSITIONS angstrom
Nb 2.0970 2.0335 2.0335
Au 0.0000 2.0335 0.0000
Ti 2.0970 0.0000 0.0000
Au 0.0000 0.0000 2.0335
CELL_PARAMETERS angstrom
4.1939 0.0000 0.0000
0.0000 4.0670 0.0000
0.0000 0.0000 4.0670
! V = 69 Å³/cell
! Space-group type = P4/mmm (123)
! Calculated formation energy = -0.2132 eV per atom
! E_tot = -6.343 eV/atom

---

# 4
! Ti2NbAu, optimized geometry, DFT PBE; values from VASP
&SYSTEM
  ibrav = 0, nat = 8, ntyp = 3
/
ATOMIC_SPECIES
Au 196.97 Au.upf
Nb 92.91 Nb.upf
Ti 47.87 Ti.upf
ATOMIC_POSITIONS angstrom
Au 0.0000 0.0000 0.0000
Nb 1.9955 3.9909 4.6868
Au 3.9909 1.9955 4.6868
Ti 4.9887 4.9572 7.0301
Ti 2.9617 0.9977 2.3434
Ti 1.0292 2.9932 2.3434
Ti 2.9932 3.0247 7.0301
Nb 1.9955 1.9955 0.0000
CELL_PARAMETERS angstrom
3.9909 0.0000 0.0000
0.0000 3.9909 0.0000
1.9955 1.9955 9.3735
! V = 149 Å³/cell
! Space-group type = I-42d (122)
! Calculated formation energy = 0.2936 eV per atom
! E_tot = -6.991 eV/atom

---

# 5
! TiNbVAu, optimized geometry, DFT PBE; values from VASP
&SYSTEM
  ibrav = 0, nat = 4, ntyp = 4
/
ATOMIC_SPECIES
Au 196.97 Au.upf
V 50.94 V.upf
Ti 47.87 Ti.upf
Nb 92.91 Nb.upf
ATOMIC_POSITIONS angstrom
Au 6.7723 3.9100 2.7648
V 4.5149 2.6067 1.8432
Ti 0.0000 0.0000 0.0000
Nb 2.2574 1.3033 0.9216
CELL_PARAMETERS angstrom
4.5149 0.0000 0.0000
2.2574 3.9100 0.0000
2.2574 1.3033 3.6864
! V = 65 Å³/cell
! Space-group type = F-43m (216)
! Calculated formation energy = -0.0762 eV per atom
! E_tot = -7.666 eV/atom

---

# 6
! NbTl2Au, optimized geometry, DFT PBE; values from VASP
&SYSTEM
  ibrav = 0, nat = 8, ntyp = 3
/
ATOMIC_SPECIES
Tl 204.38 Tl.upf
Nb 92.91 Nb.upf
Au 196.97 Au.upf
ATOMIC_POSITIONS angstrom
Tl -3.0076 -7.1995 -3.3815
Nb -2.4233 -8.4487 -0.8185
Au 0.0000 0.0000 0.0000
Tl -1.4161 -5.9931 0.3758
Au -2.0929 -6.2660 -5.8549
Nb -0.4943 -5.0132 -2.2051
Tl -3.5195 -12.3661 -5.5262
Tl -1.0891 -3.8708 -4.8150
CELL_PARAMETERS angstrom
-0.1638 -2.8305 -7.2414
-0.8247 -7.1958 2.8313
-3.5276 -4.6884 -2.2633
! V = 185 Å³/cell
! Space-group type = I-42d (122)
! Calculated formation energy = 0.5389 eV per atom
! E_tot = -3.981 eV/atom

---

# 7
! NbTl3Au, optimized geometry, DFT PBE; values from VASP
&SYSTEM
  ibrav = 0, nat = 5, ntyp = 3
/
ATOMIC_SPECIES
Au 196.97 Au.upf
Tl 204.38 Tl.upf
Nb 92.91 Nb.upf
ATOMIC_POSITIONS angstrom
Au 0.0000 0.0000 0.0000
Tl -2.1080 -1.4895 0.8977
Tl -0.2665 -1.1174 -2.4797
Nb -0.6560 -4.6072 -0.8653
Tl 1.7186 -2.0003 0.7167
CELL_PARAMETERS angstrom
-4.2161 -2.9789 1.7955
-0.5330 -2.2347 -4.9593
3.4371 -4.0006 1.4333
! V = 163 Å³/cell
! Space-group type = Pm-3m (221)
! Calculated formation energy = 1.0218 eV per atom
! E_tot = -3.067 eV/atom

---

# 8
! NbTlAu2, optimized geometry, DFT PBE; values from VASP
&SYSTEM
  ibrav = 0, nat = 8, ntyp = 3
/
ATOMIC_SPECIES
Au 196.97 Au.upf
Nb 92.91 Nb.upf
Tl 204.38 Tl.upf
ATOMIC_POSITIONS angstrom
Au -2.3704 2.2337 -4.9892
Au -5.2794 -1.4723 -2.7631
Au -6.4836 1.2814 -5.3625
Nb -3.4055 -0.1423 -4.1986
Tl -4.5022 2.7543 -6.8900
Nb -7.3920 -1.0893 -4.4159
Tl 0.0000 0.0000 0.0000
Au -9.6550 1.2873 -9.4970
CELL_PARAMETERS angstrom
-0.5156 3.7013 -6.6728
-6.2953 -3.9859 -1.7245
-5.0833 1.9496 -2.9086
! V = 174 Å³/cell
! Space-group type = I-42d (122)
! Calculated formation energy = 0.3864 eV per atom
! E_tot = -4.361 eV/atom